Below is a relaxed SrNiO crystal, with properties calculated at the GGA+U level.

Properties
energy = -4.35 eV per atom
DOS at the Fermi energy = 0.03 states/eV per atom
crystal system = monoclinic

Cell: 7.317 4.236 7.771 Å, 90.00 108.22 90.00°
Space group C2/m (No. 12)
Symmetry-distinct sites (fractional):
Sr  0.107  0.000  0.320
Ni  0.185  0.500  0.058
O  0.221  0.000  0.662